{
  "formula": "BaTbTlZn",
  "functional": "PBE-GGA",
  "state": "optimized geometry",
  "lattice": [[0.000, 3.964, 3.964], [3.964, 0.000, 3.964], [3.964, 3.964, 0.000]],
  "species": ["Ba", "Tb", "Tl", "Zn"],
  "frac_coords": [[0.000, 0.000, 0.000], [0.500, 0.500, 0.500], [0.250, 0.250, 0.250], [0.750, 0.750, 0.750]],
  "vol_a3_per_cell": 125,
  "m_tot_mub_per_fu": 0.00,
  "total_energy_ev_per_atom": -2.72,
  "dos_at_fermi_per_ev_cell": 3.21,
  "e_form_ev_per_atom": -0.171
}

=====

{
  "formula": "BaTb2Y",
  "functional": "PBE-GGA",
  "state": "optimized geometry",
  "lattice": [[1.812, 1.046, 12.893], [-1.812, 1.046, 12.893], [0.000, -2.092, 12.893]],
  "species": ["Ba", "Tb", "Tb", "Y"],
  "frac_coords": [[0.000, 0.000, 0.000], [0.094, 0.094, 0.094], [0.906, 0.906, 0.906], [0.500, 0.500, 0.500]],
  "relative_energy_ev_per_atom": 0.067,
  "vol_a3_per_cell": 147,
  "m_tot_mub_per_fu": 0.00,
  "total_energy_ev_per_atom": -4.19,
  "dos_at_fermi_per_ev_cell": 5.23,
  "e_form_ev_per_atom": 0.221
}

=====

{
  "formula": "BaTb2Y",
  "functional": "PBE-GGA",
  "state": "optimized geometry",
  "lattice": [[3.714, 0.000, 0.000], [0.000, 3.714, 0.000], [0.000, 0.000, 10.775]],
  "species": ["Ba", "Tb", "Tb", "Y"],
  "frac_coords": [[0.000, 0.000, 0.000], [0.500, 0.500, 0.282], [0.500, 0.500, 0.718], [0.000, 0.000, 0.500]],
  "relative_energy_ev_per_atom": 0.000,
  "vol_a3_per_cell": 149,
  "m_tot_mub_per_fu": 0.00,
  "total_energy_ev_per_atom": -4.26,
  "dos_at_fermi_per_ev_cell": 5.32,
  "e_form_ev_per_atom": 0.153
}